A plane-wave DFT calculation with PBE-GGA was carried out for crystalline Sc3TlRu at its relaxed geometry.

POSCAR file:
```
Sc3TlRu
1.0
0.000 4.517 7.811
3.103 0.000 7.811
3.103 4.517 0.000
Sc Tl Ru
6 2 2
direct
0.194 0.574 0.426
0.201 0.201 0.799
0.426 0.806 0.194
0.574 0.194 0.806
0.799 0.799 0.201
0.806 0.426 0.574
0.225 0.775 0.775
0.775 0.225 0.225
0.250 0.250 0.250
0.750 0.750 0.750
```

Summary:
Formation energy from the elements: -362 meV/atom
Total magnetic moment: 0.000 μB per formula unit



A plane-wave DFT calculation with PBE-GGA was carried out for crystalline Ac2PaTeO8 at its relaxed geometry.

POSCAR file:
```
Ac2PaTeO8
1.0
4.404 0.000 0.000
0.000 7.542 0.000
-0.669 0.000 5.672
Ac Pa Te O
2 1 1 8
direct
0.000 0.244 0.000
0.000 0.756 0.000
0.500 0.500 0.500
0.500 0.000 0.500
0.091 0.500 0.274
0.109 0.000 0.285
0.431 0.242 0.718
0.431 0.758 0.718
0.569 0.242 0.282
0.569 0.758 0.282
0.891 0.000 0.715
0.909 0.500 0.726
```

Summary:
Total magnetic moment: 0.000 μB per formula unit
Uncorrected energy: -7.70 eV/atom